Material: BiIr3W
Method: DFT, GGA-PBE
State: relaxed

CIF file:
```
data_BiIr3W
_cell_length_a 4.8059
_cell_length_b 4.8059
_cell_length_c 4.8059
_cell_angle_alpha 90.00
_cell_angle_beta 90.00
_cell_angle_gamma 90.00
_space_group_name_H-M_alt 'P m -3 m'
_space_group_IT_number 221
_space_group_name_Hall '-P 4 2 3'
loop_
_atom_site_label
_atom_site_fract_x
_atom_site_fract_y
_atom_site_fract_z
Bi1 0.0000 0.0000 0.0000
Ir1 0.0000 0.5000 0.5000
W1 0.5000 0.5000 0.5000
```

DFT formation energy = 1.30 eV per atom
Total DFT energy (no corrections) = -7.3815 eV per atom